Entry from Alexandria: crystalline Li2SnMoO4 at its relaxed geometry (PBE+U).

Calculated values
- M_tot: 2.8 μB per formula unit
- Total DFT energy (no corrections): -47.76 eV per cell

a = 4.3903 Å, b = 4.3903 Å, c = 5.7682 Å
α = 112.37°, β = 112.37°, γ = 89.99°
Closest atoms and distances in Å follow each position.
Sites, in units of the cell vectors:
Li  0.2500  0.7500  0.5000  4 O 2.21
Li  0.0000  0.0000  0.0000  4 O 2.20
Sn  0.7500  0.2500  0.5000  6 O 2.21-2.34
Mo  0.5000  0.5000  0.0000  6 O 2.19-2.20
O  0.9911  0.4911  0.9821  2 Mo 2.20, 2 Li 2.20, 1 Sn 2.34
O  0.5089  0.0089  0.0179  2 Li 2.20, 2 Mo 2.20, 1 Sn 2.34
O  0.7254  0.7254  0.4508  1 Mo 2.19, 2 Li 2.21, 2 Sn 2.21
O  0.2746  0.2746  0.5492  1 Mo 2.19, 2 Sn 2.21, 2 Li 2.21